4
Lattice="4.1618 0.0000 0.0000 2.0809 3.6042 0.0000 2.0809 1.2014 6.9196" Properties=species:S:1:pos:R:3 comment="CaNdPd2 GGA-PBE optimized geometry" density_g_cm3=6.35 total_magnetization_mub_per_cell=0.0 ef_ev_per_atom=-0.58 pbc="T T T"
Pd 6.2426 3.6042 5.1623
Pd 2.0809 1.2014 1.7574
Ca 0.0000 0.0000 0.0000
Nd 4.1618 2.4028 3.4598